(1)
Here is BaZnCr2Ni at its PBEsol-relaxed geometry from Alexandria. Energies are from meta-GGA SCAN.

Properties
**Total energy**: -104.07 eV/cell
**Theoretical density**: 5.8 g cm⁻³

Unit cell a=4.742 b=4.742 c=4.641 alpha=90.00 beta=90.00 gamma=90.00
Atoms (fractional coordinates):
Ba: 0.000 0.000 0.000
Zn: 0.500 0.500 0.000
Cr: 0.000 0.500 0.500
Cr: 0.500 0.000 0.500
Ni: 0.500 0.500 0.500

---

(2)
Here is BaCr2O4 at its PBEsol-relaxed geometry from Alexandria. Energies are from meta-GGA SCAN.

Properties
**Total energy**: -480.85 eV/cell
**Theoretical density**: 5.4 g cm⁻³

Unit cell a=5.958 b=12.169 c=5.170 alpha=90.00 beta=90.00 gamma=90.00
Atoms (fractional coordinates):
Ba: 0.250 0.250 0.052
Ba: 0.250 0.750 0.365
Ba: 0.750 0.250 0.635
Ba: 0.750 0.750 0.948
Cr: 0.000 0.000 0.500
Cr: 0.000 0.500 0.500
Cr: 0.250 0.505 0.999
Cr: 0.250 0.995 0.999
Cr: 0.500 0.000 0.500
Cr: 0.500 0.500 0.500
Cr: 0.750 0.005 0.001
Cr: 0.750 0.495 0.001
O: 0.003 0.086 0.835
O: 0.003 0.414 0.835
O: 0.250 0.079 0.334
O: 0.250 0.421 0.334
O: 0.250 0.584 0.669
O: 0.250 0.916 0.669
O: 0.497 0.086 0.835
O: 0.497 0.414 0.835
O: 0.503 0.586 0.165
O: 0.503 0.914 0.165
O: 0.750 0.084 0.331
O: 0.750 0.416 0.331
O: 0.750 0.579 0.666
O: 0.750 0.921 0.666
O: 0.997 0.586 0.165
O: 0.997 0.914 0.165

---

(3)
Here is BaCrO2 at its PBEsol-relaxed geometry from Alexandria. Energies are from meta-GGA SCAN.

Properties
**Total energy**: -78.35 eV/cell
**Theoretical density**: 4.2 g cm⁻³

Unit cell a=6.323 b=6.323 c=6.323 alpha=38.48 beta=38.48 gamma=38.48
Atoms (fractional coordinates):
Ba: 0.000 0.000 0.000
Cr: 0.500 0.500 0.500
O: 0.401 0.401 0.401
O: 0.599 0.599 0.599